Record 1
{"formula": "MnCu2Os", "functional": "PBEsol", "state": "relaxed", "relative_energy_mev_per_atom": 74.8, "total_energy_ev_per_cell": -29.222, "cell": [[-1.8516, -1.7075, 0.0171], [1.0818, -0.4263, 4.4712], [-2.4697, 4.1721, -1.2575]], "species": ["Cu", "Cu", "Os", "Mn"], "frac_coords": [[0.0000, 0.0000, 0.5000], [0.5000, 0.5000, 0.5000], [0.0000, 0.5000, 0.0000], [0.5000, 0.0000, 0.0000]]}

---

Record 2
{"formula": "MnCu2Os", "functional": "PBEsol", "state": "relaxed", "relative_energy_mev_per_atom": 0.0, "total_energy_ev_per_cell": -29.521, "cell": [[3.6779, 0.0000, 0.0000], [0.0000, 3.6779, 0.0000], [-1.8390, -1.8390, 3.5543]], "species": ["Cu", "Cu", "Os", "Mn"], "frac_coords": [[0.7500, 0.2500, 0.5000], [0.0000, 0.0000, 0.0000], [0.2500, 0.7500, 0.5000], [0.5000, 0.5000, 0.0000]]}

---

Record 3
{"formula": "MnCuOs", "functional": "PBEsol", "state": "relaxed", "total_energy_ev_per_cell": -23.633, "cell": [[3.9710, 0.0000, 0.0000], [1.9855, 3.4390, 0.0000], [1.9855, 1.1463, 3.2423]], "species": ["Cu", "Os", "Mn"], "frac_coords": [[0.0000, 0.0000, 0.0000], [0.2500, 0.2500, 0.2500], [0.5000, 0.5000, 0.5000]]}

---

Record 4
{"formula": "Ta2MnCuOs", "functional": "PBEsol", "state": "relaxed", "total_energy_ev_per_cell": -45.202, "cell": [[-1.0949, -3.9291, -1.2115], [0.0690, -1.3117, 4.1917], [-4.2442, 1.0589, 0.4012]], "species": ["Mn", "Cu", "Ta", "Ta", "Os"], "frac_coords": [[0.0000, 0.0000, 0.0000], [0.5000, 0.0000, 0.0000], [0.0000, 0.5000, 0.0000], [0.0000, 0.0000, 0.5000], [0.5000, 0.5000, 0.5000]]}

---

Record 5
{"formula": "MnCuP4", "functional": "PBEsol", "state": "relaxed", "total_energy_ev_per_cell": -33.506, "cell": [[4.9203, 0.0000, 0.0000], [2.4601, 4.2611, 0.0000], [2.4601, 1.4204, 4.0174]], "species": ["P", "P", "P", "P", "Mn", "Cu"], "frac_coords": [[0.3761, 0.3761, 0.3761], [0.3761, 0.3761, 0.8718], [0.3761, 0.8718, 0.3761], [0.8718, 0.3761, 0.3761], [0.0000, 0.0000, 0.0000], [0.7500, 0.7500, 0.7500]]}

---

Record 6
{"formula": "MnCuP2S", "functional": "PBEsol", "state": "relaxed", "raw_formation_energy_ev_per_fu": 3.0, "total_energy_ev_per_cell": -27.048, "cell": [[4.1183, 0.0000, 0.0000], [0.0000, 4.1183, 0.0000], [0.0000, 0.0000, 4.9527]], "species": ["Mn", "Cu", "P", "P", "S"], "frac_coords": [[0.0000, 0.0000, 0.0000], [0.5000, 0.5000, 0.5000], [0.0000, 0.5000, 0.0000], [0.5000, 0.0000, 0.0000], [0.0000, 0.0000, 0.5000]]}

---

In order of appearance, magnetic moment = 0.84 0.52 0.55 0.00 0.66 0.12 μB/atom.